Pr4Nd3Tm2 GGA-PBE relaxed; energy above the most stable polymorph in this dataset = 0.0 kJ/mol of atoms; M_tot = 0.00 Bohr magnetons per cell; V = 34.49 Å³ per atom
1.0
7.764 -2.588 0.000
7.764 2.588 0.000
-2.589 0.000 7.724
Pr Nd Tm
4 3 2
Direct
0.055 0.055 0.330
0.278 0.278 0.671
0.722 0.722 0.329
0.945 0.945 0.670
0.388 0.388 0.331
0.500 0.500 0.000
0.612 0.612 0.669
0.168 0.168 0.999
0.832 0.832 0.001